! AlZn2 SCAN PBEsol geometry; values from VASP
&SYSTEM
  ibrav = 0, nat = 6, ntyp = 2
/
ATOMIC_SPECIES
Zn 65.41 Zn.upf
Al 26.98 Al.upf
CELL_PARAMETERS angstrom
2.781 0.000 0.000
0.000 2.781 0.000
-1.390 -1.390 11.991
ATOMIC_POSITIONS crystal
Zn 0.080 0.080 0.160
Zn 0.920 0.920 0.840
Zn 0.170 0.670 0.340
Zn 0.330 0.830 0.660
Al 0.750 0.250 0.500
Al 0.500 0.500 0.000
! Space group: I4_1/amd
! DFT total energy in eV/atom: -11.57